# YCuAgPt

YCuAgPt after structural relaxation (GGA-PBE, Alexandria).

Output
* energy: -0.1955 Ha/atom
* mass density: 10.12 Mg/m³
* Fermi-level density of states: 0.194 states/eV/atom

a b c (Å): 6.687 6.687 6.687
angles (deg): 90.00 90.00 90.00
Space group F-43m (No. 216)
One atom of each set of equivalent atoms:
Y: 0.000 0.000 0.000 [4 per cell]
Cu: 0.250 0.250 0.750 [4 per cell]
Ag: 0.000 0.000 0.500 [4 per cell]
Pt: 0.250 0.250 0.250 [4 per cell]